[1]
# KGe3Cl (PBE-GGA, relaxed)
# - ρ (Mg/m³) = 2.47
# - uncorrected energy (eV per cell) = -9.5
# - formation energy from raw total energies (eV/atom) = 1.451
# - space group = Pm-3m
# - energy above the most stable polymorph in this dataset (meV per atom) = 943.2
data_KGe3Cl
_chemical_formula_sum 'K1 Ge3 Cl1'
_symmetry_space_group_name_H-M 'P 1'
_symmetry_Int_Tables_number 1
_cell_length_a 5.8112
_cell_length_b 5.8112
_cell_length_c 5.8112
_cell_angle_alpha 90.00
_cell_angle_beta 90.00
_cell_angle_gamma 90.00
loop_
_symmetry_equiv_pos_as_xyz
'x,y,z'
loop_
_atom_site_label
_atom_site_type_symbol
_atom_site_fract_x
_atom_site_fract_y
_atom_site_fract_z
K1 K 0.0000 0.0000 0.0000
Ge1 Ge 0.0000 0.0000 0.5000
Ge2 Ge 0.0000 0.5000 0.0000
Ge3 Ge 0.5000 0.0000 0.0000
Cl1 Cl 0.5000 0.5000 0.5000

=====

[2]
# KGeCl (PBE-GGA, relaxed)
# - ρ (Mg/m³) = 2.70
# - uncorrected energy (eV per cell) = -21.3
# - formation energy from raw total energies (eV/atom) = -1.030
# - space group = Cm
# - energy above the most stable polymorph in this dataset (meV per atom) = 23.6
data_KGeCl
_chemical_formula_sum 'K2 Ge2 Cl2'
_symmetry_space_group_name_H-M 'P 1'
_symmetry_Int_Tables_number 1
_cell_length_a 4.1726
_cell_length_b 4.1726
_cell_length_c 12.2319
_cell_angle_alpha 99.87
_cell_angle_beta 99.87
_cell_angle_gamma 60.02
loop_
_symmetry_equiv_pos_as_xyz
'x,y,z'
loop_
_atom_site_label
_atom_site_type_symbol
_atom_site_fract_x
_atom_site_fract_y
_atom_site_fract_z
K1 K 0.0000 0.0000 0.0000
K2 K 0.1123 0.1123 0.3364
Ge1 Ge 0.2103 0.2103 0.6378
Ge2 Ge 0.5203 0.5203 0.5677
Cl1 Cl 0.2817 0.2817 0.8463
Cl2 Cl 0.3917 0.3917 0.1750

=====

[3]
# KGe2Cl8 (PBE-GGA, relaxed)
# - ρ (Mg/m³) = 2.02
# - uncorrected energy (eV per cell) = -36.0
# - formation energy from raw total energies (eV/atom) = -0.994
# - space group = C2/m
data_KGe2Cl8
_chemical_formula_sum 'K1 Ge2 Cl8'
_symmetry_space_group_name_H-M 'P 1'
_symmetry_Int_Tables_number 1
_cell_length_a 7.6429
_cell_length_b 7.6429
_cell_length_c 7.9932
_cell_angle_alpha 106.57
_cell_angle_beta 106.57
_cell_angle_gamma 60.86
loop_
_symmetry_equiv_pos_as_xyz
'x,y,z'
loop_
_atom_site_label
_atom_site_type_symbol
_atom_site_fract_x
_atom_site_fract_y
_atom_site_fract_z
K1 K 0.0000 0.0000 0.0000
Ge1 Ge 0.2056 0.2056 0.6958
Ge2 Ge 0.7944 0.7944 0.3042
Cl1 Cl 0.1032 0.6515 0.2366
Cl2 Cl 0.1826 0.1826 0.4059
Cl3 Cl 0.3485 0.8968 0.7634
Cl4 Cl 0.3804 0.3804 0.8560
Cl5 Cl 0.6196 0.6196 0.1440
Cl6 Cl 0.6515 0.1032 0.2366
Cl7 Cl 0.8174 0.8174 0.5941
Cl8 Cl 0.8968 0.3485 0.7634

=====

[4]
# KGeCl3 (PBE-GGA, relaxed)
# - ρ (Mg/m³) = 2.17
# - uncorrected energy (eV per cell) = -35.3
# - formation energy from raw total energies (eV/atom) = -1.279
# - space group = P1
data_KGeCl3
_chemical_formula_sum 'K2 Ge2 Cl6'
_symmetry_space_group_name_H-M 'P 1'
_symmetry_Int_Tables_number 1
_cell_length_a 5.1176
_cell_length_b 7.8285
_cell_length_c 8.4421
_cell_angle_alpha 80.08
_cell_angle_beta 89.97
_cell_angle_gamma 89.94
loop_
_symmetry_equiv_pos_as_xyz
'x,y,z'
loop_
_atom_site_label
_atom_site_type_symbol
_atom_site_fract_x
_atom_site_fract_y
_atom_site_fract_z
K1 K 0.0000 0.0000 0.0000
K2 K 0.4990 0.2726 0.4363
Ge1 Ge 0.4101 0.4818 0.8708
Ge2 Ge 0.9110 0.7907 0.5654
Cl1 Cl 0.1019 0.5906 0.0314
Cl2 Cl 0.1045 0.3399 0.7212
Cl3 Cl 0.4956 0.2252 0.0623
Cl4 Cl 0.6028 0.6818 0.4052
Cl5 Cl 0.6055 0.9326 0.7154
Cl6 Cl 0.9956 0.0473 0.3738

=====

[5]
# KLaGe2Cl8 (PBE-GGA, relaxed)
# - ρ (Mg/m³) = 2.50
# - uncorrected energy (eV per cell) = -48.1
# - formation energy from raw total energies (eV/atom) = -1.508
# - space group = P-1
data_KLaGe2Cl8
_chemical_formula_sum 'K1 La1 Ge2 Cl8'
_symmetry_space_group_name_H-M 'P 1'
_symmetry_Int_Tables_number 1
_cell_length_a 6.4233
_cell_length_b 6.9149
_cell_length_c 9.1046
_cell_angle_alpha 87.16
_cell_angle_beta 88.40
_cell_angle_gamma 86.19
loop_
_symmetry_equiv_pos_as_xyz
'x,y,z'
loop_
_atom_site_label
_atom_site_type_symbol
_atom_site_fract_x
_atom_site_fract_y
_atom_site_fract_z
K1 K 0.0000 0.0000 0.0000
La1 La 0.0000 0.0000 0.5000
Ge1 Ge 0.4645 0.4598 0.2538
Ge2 Ge 0.5355 0.5402 0.7462
Cl1 Cl 0.2155 0.8049 0.2786
Cl2 Cl 0.2552 0.3240 0.4585
Cl3 Cl 0.2661 0.8573 0.7246
Cl4 Cl 0.2788 0.3540 0.0641
Cl5 Cl 0.7212 0.6460 0.9359
Cl6 Cl 0.7339 0.1427 0.2754
Cl7 Cl 0.7448 0.6760 0.5415
Cl8 Cl 0.7845 0.1951 0.7214

=====

[6]
# K2MgGeCl6 (PBE-GGA, relaxed)
# - ρ (Mg/m³) = 2.40
# - uncorrected energy (eV per cell) = -35.2
# - formation energy from raw total energies (eV/atom) = -1.573
# - space group = P-1
data_K2MgGeCl6
_chemical_formula_sum 'K2 Mg1 Ge1 Cl6'
_symmetry_space_group_name_H-M 'P 1'
_symmetry_Int_Tables_number 1
_cell_length_a 7.1991
_cell_length_b 7.2003
_cell_length_c 7.2026
_cell_angle_alpha 60.79
_cell_angle_beta 60.78
_cell_angle_gamma 60.80
loop_
_symmetry_equiv_pos_as_xyz
'x,y,z'
loop_
_atom_site_label
_atom_site_type_symbol
_atom_site_fract_x
_atom_site_fract_y
_atom_site_fract_z
K1 K 0.2472 0.2463 0.2467
K2 K 0.7528 0.7537 0.7533
Mg1 Mg 0.0000 0.0000 0.0000
Ge1 Ge 0.5000 0.5000 0.5000
Cl1 Cl 0.1763 0.3089 0.7600
Cl2 Cl 0.2418 0.8229 0.6919
Cl3 Cl 0.3078 0.7606 0.1774
Cl4 Cl 0.6922 0.2394 0.8226
Cl5 Cl 0.7582 0.1771 0.3081
Cl6 Cl 0.8237 0.6911 0.2400

=====

[7]
# KMn2GeCl8 (PBE-GGA, relaxed)
# - ρ (Mg/m³) = 2.44
# - uncorrected energy (eV per cell) = -51.8
# - formation energy from raw total energies (eV/atom) = -1.085
# - space group = P-3
data_KMn2GeCl8
_chemical_formula_sum 'K1 Mn2 Ge1 Cl8'
_symmetry_space_group_name_H-M 'P 1'
_symmetry_Int_Tables_number 1
_cell_length_a 6.5667
_cell_length_b 6.5667
_cell_length_c 9.2257
_cell_angle_alpha 90.00
_cell_angle_beta 90.00
_cell_angle_gamma 120.00
loop_
_symmetry_equiv_pos_as_xyz
'x,y,z'
loop_
_atom_site_label
_atom_site_type_symbol
_atom_site_fract_x
_atom_site_fract_y
_atom_site_fract_z
K1 K 0.0000 0.0000 0.0000
Mn1 Mn 0.3333 0.6667 0.7375
Mn2 Mn 0.6667 0.3333 0.2625
Ge1 Ge 0.0000 0.0000 0.5000
Cl1 Cl 0.0049 0.3136 0.6674
Cl2 Cl 0.3087 0.9951 0.6674
Cl3 Cl 0.3136 0.3087 0.3326
Cl4 Cl 0.3333 0.6667 0.9810
Cl5 Cl 0.6667 0.3333 0.0190
Cl6 Cl 0.6864 0.6913 0.6674
Cl7 Cl 0.6913 0.0049 0.3326
Cl8 Cl 0.9951 0.6864 0.3326

=====

[8]
# K3Mn2GeCl9 (PBE-GGA, relaxed)
# - ρ (Mg/m³) = 2.55
# - uncorrected energy (eV per cell) = -63.4
# - formation energy from raw total energies (eV/atom) = -1.372
# - space group = P-3m1
data_K3Mn2GeCl9
_chemical_formula_sum 'K3 Mn2 Ge1 Cl9'
_symmetry_space_group_name_H-M 'P 1'
_symmetry_Int_Tables_number 1
_cell_length_a 7.2411
_cell_length_b 7.2411
_cell_length_c 8.8823
_cell_angle_alpha 90.00
_cell_angle_beta 90.00
_cell_angle_gamma 120.00
loop_
_symmetry_equiv_pos_as_xyz
'x,y,z'
loop_
_atom_site_label
_atom_site_type_symbol
_atom_site_fract_x
_atom_site_fract_y
_atom_site_fract_z
K1 K 0.0000 0.0000 0.0000
K2 K 0.3333 0.6667 0.6712
K3 K 0.6667 0.3333 0.3288
Mn1 Mn 0.3333 0.6667 0.1619
Mn2 Mn 0.6667 0.3333 0.8381
Ge1 Ge 0.0000 0.0000 0.5000
Cl1 Cl 0.0000 0.5000 0.0000
Cl2 Cl 0.1709 0.3418 0.3264
Cl3 Cl 0.1709 0.8291 0.3264
Cl4 Cl 0.3418 0.1709 0.6736
Cl5 Cl 0.5000 0.0000 0.0000
Cl6 Cl 0.5000 0.5000 0.0000
Cl7 Cl 0.6582 0.8291 0.3264
Cl8 Cl 0.8291 0.1709 0.6736
Cl9 Cl 0.8291 0.6582 0.6736